The following is a SCAN calculation of a crystal of TiAu relaxed with PBEsol, from the Alexandria database.

a b c (Å): 4.5947 2.8668 4.9136
angles (deg): 90.00 90.00 90.00
Space group Pmma (No. 51)
Symmetry-distinct sites (fractional):
Ti 0.2500 0.0000 0.1845 x2
Au 0.2500 0.5000 0.6788 x2

Properties
calculated volume	16.2	A^3/atom
DFT total energy	-43.2327	eV/atom
magnetic moment	1.93	μB per cell
energy of formation	-0.64	eV per atom
D(E_F)	2.70	states/eV/cell